[1]
Material: AcLa2Rh2
Method: DFT, PBE
State: relaxed

The energy of formation comes out at -0.639 eV/atom. The value obtained for the total energy is -6.37 eV/atom.

It has space group Cc (No. 9), with a = 12.5995 Å, b = 7.2770 Å, c = 7.8619 Å, α = 90.00°, β = 121.49° and γ = 90.00°. The asymmetric unit holds Ac at (0.0000, 0.0792, 0.0000), La at (0.1635, 0.4184, 0.4994), La at (0.3301, 0.0833, 0.9989), Rh at (0.2498, 0.2533, 0.2589) and Rh at (0.4072, 0.2391, 0.7401).


[2]
Material: BeCuSi2
Method: DFT, PBE
State: relaxed

The value obtained for the total energy is -4.40 eV/atom.

It has space group Pmm2 (No. 25), with a = 2.4544 Å, b = 3.4967 Å, c = 5.8593 Å, α = 90.00°, β = 90.00° and γ = 90.00°. The asymmetric unit holds Be at (0.0000, 0.0000, 0.0000), Cu at (0.5000, 0.5000, 0.2025), Si at (0.0000, 0.0000, 0.4460) and Si at (0.5000, 0.5000, 0.7746).


[3]
Material: LiSnTe2N
Method: DFT, PBE
State: relaxed

For the polymorph energy (0 for the lowest one), the calculation gives 0.0 meV/atom. The value obtained for the total energy is -3.61 eV/atom.

It has space group P4/mmm (No. 123), with a = 6.0467 Å, b = 6.0467 Å, c = 3.8819 Å, α = 90.00°, β = 90.00° and γ = 90.00°. The asymmetric unit holds Li at (0.0000, 0.0000, 0.0000), Sn at (0.5000, 0.5000, 0.5000), Te at (0.0000, 0.5000, 0.5000) and N at (0.5000, 0.5000, 0.0000).


[4]
Material: Ba3Na2Zn2Au4
Method: DFT, PBE
State: relaxed

The energy of formation comes out at -0.475 eV/atom. The value obtained for the total energy is -2.66 eV/atom.

It has space group P-3m1 (No. 164), with a = 4.7589 Å, b = 4.7589 Å, c = 16.9400 Å, α = 90.00°, β = 90.00° and γ = 120.00°. The asymmetric unit holds Ba at (0.0000, 0.0000, 0.0000), Ba at (0.0000, 0.0000, 0.2612), Na at (0.3333, 0.6667, 0.5569), Zn at (0.3333, 0.6667, 0.1325), Au at (0.3333, 0.6667, 0.3719) and Au at (0.3333, 0.6667, 0.8705).


[5]
Material: FeTeHI2
Method: DFT, PBE
State: relaxed

For the polymorph energy (0 for the lowest one), the calculation gives 68.8 meV/atom. The value obtained for the total energy is -2.79 eV/atom.

It has space group P4/mmm (No. 123), with a = 5.6800 Å, b = 5.6800 Å, c = 3.8398 Å, α = 90.00°, β = 90.00° and γ = 90.00°. The asymmetric unit holds Fe at (0.0000, 0.0000, 0.0000), Te at (0.5000, 0.5000, 0.0000), H at (0.5000, 0.5000, 0.5000) and I at (0.0000, 0.5000, 0.5000).


[6]
Material: Ti5Ga4W
Method: DFT, PBE
State: relaxed

The energy of formation comes out at -0.351 eV/atom. The value obtained for the total energy is -6.80 eV/atom.

It has space group P4/mmm (No. 123), with a = 3.3092 Å, b = 3.3092 Å, c = 14.5042 Å, α = 90.00°, β = 90.00° and γ = 90.00°. The asymmetric unit holds Ti at (0.0000, 0.0000, 0.0000), Ti at (0.0000, 0.0000, 0.1938), Ti at (0.0000, 0.0000, 0.3990), Ga at (0.5000, 0.5000, 0.0961), Ga at (0.5000, 0.5000, 0.2998) and W at (0.5000, 0.5000, 0.5000).


[7]
Material: Tb2Tl4Se5
Method: DFT, PBE
State: relaxed

The value obtained for the total energy is -4.19 eV/atom.

It has space group R-3m (No. 166, hexagonal axes), with a = 4.2167 Å, b = 4.2167 Å, c = 72.4778 Å, α = 90.00°, β = 90.00° and γ = 120.00°. The asymmetric unit holds Tb at (0.0000, 0.0000, 0.1418), Tl at (0.0000, 0.0000, 0.3133), Tl at (0.0000, 0.0000, 0.4130), Se at (0.0000, 0.0000, 0.2111), Se at (0.0000, 0.0000, 0.3753) and Se at (0.0000, 0.0000, 0.5000).


[8]
Material: LiTbTl2
Method: DFT, PBE
State: relaxed

The energy of formation comes out at -0.314 eV/atom. The value obtained for the total energy is -3.13 eV/atom.

It has space group P4/mmm (No. 123), with a = 5.1021 Å, b = 5.1021 Å, c = 3.8745 Å, α = 90.00°, β = 90.00° and γ = 90.00°. The asymmetric unit holds Li at (0.0000, 0.0000, 0.0000), Tb at (0.5000, 0.5000, 0.0000) and Tl at (0.0000, 0.5000, 0.5000).


[9]
Material: Zr2TeC
Method: DFT, PBE
State: relaxed

The value obtained for the total energy is -7.69 eV/atom.

It has space group I-42d (No. 122), with a = 5.9012 Å, b = 5.9012 Å, c = 10.7712 Å, α = 90.00°, β = 90.00° and γ = 90.00°. The asymmetric unit holds Zr at (0.1518, 0.2500, 0.1250), Te at (0.0000, 0.0000, 0.5000) and C at (0.0000, 0.0000, 0.0000).


[10]
Material: SrIrPt
Method: DFT, PBE
State: relaxed

For the polymorph energy (0 for the lowest one), the calculation gives 1549.9 meV/atom. The energy of formation comes out at 0.984 eV/atom. The value obtained for the total energy is -4.54 eV/atom.

It has space group F-43m (No. 216), with a = 6.6190 Å, b = 6.6190 Å, c = 6.6190 Å, α = 90.00°, β = 90.00° and γ = 90.00°. The asymmetric unit holds Sr at (0.0000, 0.0000, 0.0000), Ir at (0.2500, 0.2500, 0.7500) and Pt at (0.2500, 0.2500, 0.2500).


[11]
Material: SrYTcN3
Method: DFT, PBE
State: relaxed

The value obtained for the total energy is -8.01 eV/atom.

It has space group P2_1/m (No. 11), with a = 6.4613 Å, b = 3.5031 Å, c = 9.2849 Å, α = 90.00°, β = 105.19° and γ = 90.00°. The asymmetric unit holds Sr at (0.1693, 0.2500, 0.1895), Y at (0.3531, 0.2500, 0.8610), Tc at (0.1379, 0.7500, 0.5772), N at (0.0078, 0.2500, 0.6517), N at (0.2847, 0.7500, 0.0101) and N at (0.4102, 0.7500, 0.6825).


[12]
Material: HoSnHg
Method: DFT, PBE
State: relaxed

The energy of formation comes out at -0.084 eV/atom. The value obtained for the total energy is -3.05 eV/atom.

It has space group I4mm (No. 107), with a = 3.3928 Å, b = 3.3928 Å, c = 16.0535 Å, α = 90.00°, β = 90.00° and γ = 90.00°. The asymmetric unit holds Ho at (0.0000, 0.0000, 0.0000), Sn at (0.0000, 0.0000, 0.3693) and Hg at (0.0000, 0.0000, 0.1858).